No. 1
20
Lattice="-5.053 -2.963 -5.407 0.041 -4.688 6.448 -2.323 7.341 2.066" Properties=species:S:1:pos:R:3 comment="Cs4KPa3O12, optimized geometry, DFT PBE-GGA" raw_formation_energy_mev_per_atom=-2422.7 space_group="Im-3m, No. 229" pbc="T T T"
O -0.657 0.764 2.452
O -2.394 -0.586 4.517
O -2.125 1.261 -0.962
O -4.350 -2.731 -0.315
O -5.252 3.117 -2.378
O -2.985 2.421 3.422
O -4.941 0.276 -1.410
O -3.568 -5.447 0.741
O -4.259 2.852 0.458
O -1.444 -2.204 0.300
O -1.624 1.889 6.062
O -3.076 -3.162 2.649
K 0.000 0.000 0.000
Pa -1.141 1.326 4.257
Pa -2.506 -3.825 0.520
Pa -3.688 2.189 -1.670
Cs -2.527 -1.481 -2.704
Cs -3.667 -0.155 1.554
Cs 0.021 -2.344 3.224
Cs -1.161 3.670 1.033


No. 2
4
Lattice="-3.354 0.073 4.214 -0.093 -5.335 0.743 4.538 2.893 -0.244" Properties=species:S:1:pos:R:3 comment="La2YTc, optimized geometry, DFT PBE-GGA" final_energy_ev_per_atom=-6.38 space_group="I-4m2, No. 119" pbc="T T T"
La 0.000 0.000 0.000
La 1.361 -2.536 1.489
Tc -1.724 -2.631 2.479
Y -0.270 0.168 3.225


No. 3
5
Lattice="-2.171 -2.453 2.963 2.029 -3.621 -1.511 3.887 -2.288 4.246" Properties=species:S:1:pos:R:3 comment="Na2GeF2, optimized geometry, DFT PBE-GGA" raw_formation_energy_mev_per_atom=-1601.1 space_group="I4/mmm, No. 139" pbc="T T T"
Ge 0.000 0.000 0.000
Na 2.922 -4.473 1.730
Na 0.823 -3.889 3.967
F 2.200 -2.607 2.746
F 1.544 -5.755 2.951


No. 4
8
Lattice="-3.544 -0.323 -2.011 -2.782 -4.224 5.583 -1.745 7.637 1.849" Properties=species:S:1:pos:R:3 comment="Sm4PRhI2, optimized geometry, DFT PBE-GGA" raw_formation_energy_mev_per_atom=-1080.2 space_group="P2/m, No. 10" pbc="T T T"
I -2.645 3.657 -0.081
I -2.264 1.706 3.716
Sm -5.328 2.800 4.787
Sm -2.744 0.290 0.635
Sm -2.317 -1.626 4.346
Sm -2.210 5.039 3.087
Rh -3.163 -2.274 1.786
P 0.000 0.000 0.000


No. 5
5
Lattice="-4.404 -0.733 -0.913 1.012 -4.169 -1.535 -0.588 -1.687 4.192" Properties=species:S:1:pos:R:3 comment="LiAg3Ge, optimized geometry, DFT PBE-GGA" final_energy_ev_per_atom=-2.58 space_group="Pm-3m, No. 221" pbc="T T T"
Ag 0.506 -2.085 -0.768
Ag -2.202 -0.366 -0.456
Ag -0.294 -0.843 2.096
Li 0.000 0.000 0.000
Ge -1.990 -3.294 0.872


No. 6
24
Lattice="7.561 0.029 -1.398 -2.898 6.983 -1.398 -0.011 -0.016 14.020" Properties=species:S:1:pos:R:3 comment="Sm3Bi2Se, optimized geometry, DFT PBE-GGA" raw_formation_energy_mev_per_atom=-1207.3 space_group="Fddd, No. 70" pbc="T T T"
Sm -1.383 3.590 6.268
Sm 0.034 5.834 0.789
Sm 3.568 5.366 -2.140
Sm 2.703 4.177 7.763
Sm 1.095 1.646 -0.656
Sm 0.806 6.883 4.955
Sm 4.558 1.072 10.470
Sm -0.715 4.708 10.435
Sm 4.340 6.415 2.027
Sm 0.415 0.512 9.197
Sm 1.845 2.888 3.461
Sm 5.427 2.378 0.753
Bi 1.943 2.923 10.570
Bi 4.563 1.192 3.560
Bi 6.093 3.493 11.881
Bi 5.318 2.327 7.663
Bi 1.168 1.756 6.352
Bi 3.788 0.026 -0.658
Bi 2.709 4.073 0.654
Bi 3.484 5.240 4.872
Se -0.676 4.654 3.506
Se 0.098 5.819 7.718
Se 4.265 6.414 9.118
Se 0.387 0.582 2.106


No. 7
4
Lattice="-4.250 5.376 4.704 -5.900 1.788 5.575 -2.464 2.925 7.380" Properties=species:S:1:pos:R:3 comment="NaTeS2, optimized geometry, DFT PBE-GGA" raw_formation_energy_mev_per_atom=-44.5 space_group="R-3m, No. 166" pbc="T T T"
S -11.339 9.069 15.874
S -1.274 1.019 1.784
Na -6.306 5.044 8.829
Te 0.000 0.000 0.000


No. 8
5
Lattice="4.590 0.000 0.000 0.000 4.590 0.000 0.000 0.000 4.590" Properties=species:S:1:pos:R:3 comment="LiSc3C, optimized geometry, DFT PBE-GGA" final_energy_ev_per_atom=-6.20 space_group="Pm-3m, No. 221" pbc="T T T"
C 0.000 0.000 0.000
Sc 0.000 0.000 2.295
Sc 2.295 0.000 0.000
Sc 0.000 2.295 0.000
Li 2.295 2.295 2.295


For the records above, the corresponding DOS at the Fermi energy values read 0.732 1.254 0.248 0.644 0.303 0.284 0.698 1.460 states/eV per atom.